Entry 1:
Entry from Alexandria via LeMat-Bulk: NaPa2AgSe5 after structural relaxation (PBE-GGA).

a b c (Å): 7.903 7.903 15.409
angles (deg): 90.00 90.00 90.00
Space group I4/mcm (No. 140)
Inequivalent atoms, fractional coordinates:
1 Na 0.000 0.000 0.250
2 Pa 0.156 0.344 0.000
3 Ag 0.000 0.500 0.250
4 Se 0.000 0.000 0.000
5 Se 0.151 0.349 0.381

Results
ΔE_f (raw)	-1.0758	eV per atom

=====

Entry 2:
Entry from Alexandria via LeMat-Bulk: SrNbAu after structural relaxation (PBE-GGA).

a b c (Å): 5.206 3.578 8.422
angles (deg): 90.00 107.95 90.00
Space group Pm (No. 6)
Inequivalent atoms, fractional coordinates:
1 Sr 0.000 0.000 0.000
2 Sr 0.339 0.000 0.676
3 Nb 0.566 0.500 0.133
4 Nb 0.681 0.000 0.361
5 Au 0.163 0.500 0.326
6 Au 0.824 0.500 0.646

Results
polymorph energy (0 for the lowest one)	0.187	eV/atom

=====

Entry 3:
Entry from Alexandria via LeMat-Bulk: Ta2ReRu after structural relaxation (PBE-GGA).

a b c (Å): 3.194 3.194 6.353
angles (deg): 90.00 90.00 90.00
Space group P4/mmm (No. 123)
Inequivalent atoms, fractional coordinates:
1 Ta 0.000 0.000 0.248
2 Re 0.500 0.500 0.000
3 Ru 0.500 0.500 0.500

=====

Entry 4:
Entry from Alexandria via LeMat-Bulk: CdGaP2 after structural relaxation (PBE-GGA).

a b c (Å): 6.621 6.621 6.621
angles (deg): 90.00 90.00 90.00
Space group Fm-3m (No. 225)
Inequivalent atoms, fractional coordinates:
1 Cd 0.000 0.000 0.000
2 Ga 0.000 0.000 0.500
3 P 0.250 0.250 0.250

Results
polymorph energy (0 for the lowest one)	0.501	eV/atom

=====

no.,final energy (eV/atom),total magnetization (μB per formula unit)
1,-5.585,1.93
2,-4.958,0.00
3,-11.740,0.00
4,-3.238,0.00